# Rb2Na2Mg

A relaxed Rb2Na2Mg crystal (PBE-GGA, Alexandria via LeMat-Bulk).

Structure (extended XYZ):
```
5
Lattice="4.7551 0.0000 0.0000 0.0000 4.7551 0.0000 2.3776 2.3776 12.0752" Properties=species:S:1:pos:R:3 pbc="T T T"
Rb 4.7551 4.7551 9.7304
Na 4.7551 2.3776 6.0376
Na 2.3776 4.7551 6.0376
Rb 2.3776 2.3776 2.3448
Mg 0.0000 0.0000 0.0000
```

**E_form**: 0.181 eV per atom
**Total magnetic moment**: 0.00 μB per formula unit
**DOS(E_F)**: 3.4 states/eV/cell
**E_tot**: -1.05 eV per atom